Crystalline Co2NiMo at its relaxed geometry, computed with PBEsol.

Cell lengths 4.0142, 4.0142, 4.0142 Å; angles 60.00, 60.00, 60.00 degrees
Last column: magnetic moment on the atom in μB.
Atoms (fractional coordinates):
Ni  0.7500  0.7500  0.7500  -0.07
Co  0.0000  0.0000  0.0000  0.53
Co  0.2500  0.2500  0.2500  0.63
Mo  0.5000  0.5000  0.5000  -0.11

Properties
**ΔE_f**: 0.1841 eV/atom
**M_tot**: 1.0 μB per formula unit